Entry 1:
! CaHoAgAu PBE optimized geometry; values from VASP
&SYSTEM
  ibrav = 0, nat = 4, ntyp = 4
/
ATOMIC_SPECIES
Ca 40.08 Ca.upf
Ho 164.93 Ho.upf
Ag 107.87 Ag.upf
Au 196.97 Au.upf
CELL_PARAMETERS angstrom
3.640 0.000 0.000
0.000 3.640 0.000
0.000 0.000 7.318
ATOMIC_POSITIONS angstrom
Ca 0.000 0.000 6.303
Ho 0.000 0.000 2.541
Ag 1.820 1.820 4.289
Au 1.820 1.820 0.975
! - Calculated volume: 24.2 Å³/atom
! - E above lowest polymorph: 0.00 kJ per mole of atoms
! - Energy relative to the elements: -2.37 eV/f.u.

Entry 2:
! PmTh2Pa PBE optimized geometry; values from VASP
&SYSTEM
  ibrav = 0, nat = 4, ntyp = 3
/
ATOMIC_SPECIES
Pa 231.04 Pa.upf
Th 232.04 Th.upf
Pm 145.00 Pm.upf
CELL_PARAMETERS angstrom
3.502 0.000 0.000
0.000 3.502 0.000
0.000 0.000 10.002
ATOMIC_POSITIONS angstrom
Pa 1.751 1.751 0.000
Th 0.000 0.000 7.640
Th 0.000 0.000 2.361
Pm 1.751 1.751 5.001
! - Calculated volume: 30.7 Å³/atom
! - E above lowest polymorph: 0.00 kJ per mole of atoms
! - Energy relative to the elements: 0.39 eV/f.u.